Density functional theory data (PBE-GGA) for a relaxed DyNbGa2 crystal.

abc: 3.2115 3.2115 27.4170
angles: 90.00 90.00 120.00
Space group R-3m (No. 166, hexagonal axes)
Symmetry-distinct sites (fractional):
Dy (0.0000, 0.0000, 0.0000)
Nb (0.0000, 0.0000, 0.5000)
Ga (0.0000, 0.0000, 0.2439)

Results
Excess energy over the best structure of this formula in the dataset ... 232 meV/atom
Magnetization ... 0.000 μB/atom
Mass density ... 8.0 g/cm3
Crystal system ... trigonal

Density functional theory data (PBE-GGA) for a relaxed DyNbGa crystal.

abc: 4.0064 4.0064 16.2558
angles: 90.00 90.00 90.00
Space group I4/mmm (No. 139)
Symmetry-distinct sites (fractional):
Dy (0.0000, 0.0000, 0.1747)
Nb (0.0000, 0.5000, 0.0000)
Ga (0.0000, 0.0000, 0.3764)

Results
Magnetization ... 0.001 μB/atom
Mass density ... 8.3 g/cm3
Crystal system ... tetragonal

Density functional theory data (PBE-GGA) for a relaxed Dy2NbGa crystal.

abc: 3.2340 3.2340 32.2177
angles: 90.00 90.00 120.00
Space group R-3m (No. 166, hexagonal axes)
Symmetry-distinct sites (fractional):
Dy (0.0000, 0.0000, 0.0928)
Nb (0.0000, 0.0000, 0.0000)
Ga (0.0000, 0.0000, 0.5000)

Results
Magnetization ... 0.265 μB/atom
Mass density ... 8.3 g/cm3
Crystal system ... trigonal

Computed values of DOS(E_F) (unit: states/eV per cell) for the preceding records, in sequence: 9.6, 8.9, 17.0.
Computed values of ΔH_f (0 K) (unit: meV per atom) for the preceding records, in sequence: -116, -397, 347.